# YNb2Co | OQMD via LeMat-Bulk | PBE | optimized geometry
# - ΔE_f (meV per atom) = 285
# - electronic total energy (eV per atom) = -8.1549
data_YNb2Co
_chemical_formula_sum 'Y1 Nb2 Co1'
_cell_length_a 4.6813
_cell_length_b 4.6813
_cell_length_c 4.6813
_cell_angle_alpha 60.00
_cell_angle_beta 60.00
_cell_angle_gamma 60.00
_space_group_name_H-M_alt 'P 1'
_space_group_IT_number 1
loop_
_space_group_symop_operation_xyz
'x,y,z'
loop_
_atom_site_label
_atom_site_type_symbol
_atom_site_fract_x
_atom_site_fract_y
_atom_site_fract_z
_atom_site_occupancy
Y1 Y 0.0000 0.0000 0.0000 1
Nb1 Nb 0.5000 0.5000 0.5000 1
Nb2 Nb 0.7500 0.7500 0.7500 1
Co1 Co 0.2500 0.2500 0.2500 1

=====

# GdCo2 | OQMD via LeMat-Bulk | PBE | optimized geometry
# - ΔE_f (meV per atom) = -156
# - electronic total energy (eV per atom) = -6.4451
# - energy above the most stable polymorph in this dataset (kcal/mol of atoms) = 0.00
data_GdCo2
_chemical_formula_sum 'Gd2 Co4'
_cell_length_a 5.0769
_cell_length_b 5.0769
_cell_length_c 5.0769
_cell_angle_alpha 60.00
_cell_angle_beta 60.00
_cell_angle_gamma 60.00
_space_group_name_H-M_alt 'P 1'
_space_group_IT_number 1
loop_
_space_group_symop_operation_xyz
'x,y,z'
loop_
_atom_site_label
_atom_site_type_symbol
_atom_site_fract_x
_atom_site_fract_y
_atom_site_fract_z
_atom_site_occupancy
Gd1 Gd 0.1250 0.1250 0.1250 1
Gd2 Gd 0.8750 0.8750 0.8750 1
Co1 Co 0.0000 0.5000 0.5000 1
Co2 Co 0.5000 0.0000 0.5000 1
Co3 Co 0.5000 0.5000 0.0000 1
Co4 Co 0.5000 0.5000 0.5000 1

=====

# ErAs2 | OQMD via LeMat-Bulk | PBE | optimized geometry
# - electronic total energy (eV per atom) = -4.8954
data_ErAs2
_chemical_formula_sum 'Er2 As4'
_cell_length_a 5.6776
_cell_length_b 5.6776
_cell_length_c 5.6776
_cell_angle_alpha 60.00
_cell_angle_beta 60.00
_cell_angle_gamma 60.00
_space_group_name_H-M_alt 'P 1'
_space_group_IT_number 1
loop_
_space_group_symop_operation_xyz
'x,y,z'
loop_
_atom_site_label
_atom_site_type_symbol
_atom_site_fract_x
_atom_site_fract_y
_atom_site_fract_z
_atom_site_occupancy
Er1 Er 0.1250 0.1250 0.1250 1
Er2 Er 0.8750 0.8750 0.8750 1
As1 As 0.0000 0.5000 0.5000 1
As2 As 0.5000 0.0000 0.5000 1
As3 As 0.5000 0.5000 0.0000 1
As4 As 0.5000 0.5000 0.5000 1

=====

# ErScTeC | OQMD via LeMat-Bulk | PBE | optimized geometry
# - electronic total energy (eV per atom) = -6.6721
# - energy above the most stable polymorph in this dataset (kcal/mol of atoms) = 0.00
data_ErScTeC
_chemical_formula_sum 'Er2 Sc2 Te2 C2'
_cell_length_a 3.6857
_cell_length_b 3.6857
_cell_length_c 13.5595
_cell_angle_alpha 90.00
_cell_angle_beta 90.00
_cell_angle_gamma 120.00
_space_group_name_H-M_alt 'P 1'
_space_group_IT_number 1
loop_
_space_group_symop_operation_xyz
'x,y,z'
loop_
_atom_site_label
_atom_site_type_symbol
_atom_site_fract_x
_atom_site_fract_y
_atom_site_fract_z
_atom_site_occupancy
Er1 Er 0.3333 0.6667 0.0000 1
Er2 Er 0.6667 0.3333 0.5000 1
Sc1 Sc 0.3333 0.6667 0.3178 1
Sc2 Sc 0.6667 0.3333 0.8178 1
Te1 Te 0.3333 0.6667 0.6662 1
Te2 Te 0.6667 0.3333 0.1662 1
C1 C 0.0000 0.0000 0.4056 1
C2 C 0.0000 0.0000 0.9056 1

=====

# Lu4Ta2As3C3 | OQMD via LeMat-Bulk | PBE | optimized geometry
# - electronic total energy (eV per atom) = -7.7058
data_Lu4Ta2As3C3
_chemical_formula_sum 'Lu8 Ta4 As6 C6'
_cell_length_a 6.0284
_cell_length_b 6.0284
_cell_length_c 13.3156
_cell_angle_alpha 103.51
_cell_angle_beta 103.51
_cell_angle_gamma 60.37
_space_group_name_H-M_alt 'P 1'
_space_group_IT_number 1
loop_
_space_group_symop_operation_xyz
'x,y,z'
loop_
_atom_site_label
_atom_site_type_symbol
_atom_site_fract_x
_atom_site_fract_y
_atom_site_fract_z
_atom_site_occupancy
Lu1 Lu 0.0432 0.1959 0.1048 1
Lu2 Lu 0.1222 0.2986 0.3951 1
Lu3 Lu 0.1959 0.0432 0.6048 1
Lu4 Lu 0.2986 0.1222 0.8951 1
Lu5 Lu 0.7014 0.8778 0.1049 1
Lu6 Lu 0.8041 0.9568 0.3952 1
Lu7 Lu 0.8778 0.7014 0.6049 1
Lu8 Lu 0.9568 0.8041 0.8952 1
Ta1 Ta 0.3566 0.5288 0.0851 1
Ta2 Ta 0.4712 0.6434 0.4149 1
Ta3 Ta 0.5288 0.3566 0.5851 1
Ta4 Ta 0.6434 0.4712 0.9149 1
As1 As 0.1172 0.8828 0.2500 1
As2 As 0.2828 0.4164 0.7524 1
As3 As 0.4164 0.2828 0.2524 1
As4 As 0.5836 0.7172 0.7476 1
As5 As 0.7172 0.5836 0.2476 1
As6 As 0.8828 0.1172 0.7500 1
C1 C 0.0000 0.5000 0.0000 1
C2 C 0.1988 0.6509 0.5000 1
C3 C 0.3491 0.8012 0.0000 1
C4 C 0.5000 0.0000 0.5000 1
C5 C 0.6509 0.1988 0.0000 1
C6 C 0.8012 0.3491 0.5000 1

=====

# AlHg | OQMD via LeMat-Bulk | PBE | optimized geometry
# - electronic total energy (eV per atom) = -1.7551
data_AlHg
_chemical_formula_sum 'Al2 Hg2'
_cell_length_a 4.6837
_cell_length_b 4.6837
_cell_length_c 5.5206
_cell_angle_alpha 90.00
_cell_angle_beta 90.00
_cell_angle_gamma 120.00
_space_group_name_H-M_alt 'P 1'
_space_group_IT_number 1
loop_
_space_group_symop_operation_xyz
'x,y,z'
loop_
_atom_site_label
_atom_site_type_symbol
_atom_site_fract_x
_atom_site_fract_y
_atom_site_fract_z
_atom_site_occupancy
Al1 Al 0.3333 0.6667 0.2500 1
Al2 Al 0.6667 0.3333 0.7500 1
Hg1 Hg 0.3333 0.6667 0.7500 1
Hg2 Hg 0.6667 0.3333 0.2500 1

=====

- Which formula does entry 6 have?
  AlHg

=====

- Look up the electronic total energy of the sixth one.
  -1.7551 eV per atom